[1]
DFT (PBE) results for a geometry-optimized Pa4In6Ga7 structure.

Calculated values
Symmetry: Im-3m
Formation enthalpy at 0 K in eV per atom: -0.1122

a b c (Å): 7.8856 7.8856 7.8856
angles (deg): 109.47 109.47 109.47
Element x y z (fractional)
1 Pa 0.0000 0.0000 0.5000
2 Pa 0.0000 0.5000 0.0000
3 Pa 0.5000 0.0000 0.0000
4 Pa 0.5000 0.5000 0.5000
5 In 0.0000 0.3003 0.3003
6 In 0.0000 0.6997 0.6997
7 In 0.3003 0.0000 0.3003
8 In 0.3003 0.3003 0.0000
9 In 0.6997 0.0000 0.6997
10 In 0.6997 0.6997 0.0000
11 Ga 0.0000 0.0000 0.0000
12 Ga 0.2500 0.5000 0.7500
13 Ga 0.2500 0.7500 0.5000
14 Ga 0.5000 0.2500 0.7500
15 Ga 0.5000 0.7500 0.2500
16 Ga 0.7500 0.2500 0.5000
17 Ga 0.7500 0.5000 0.2500

---

[2]
DFT (PBE) results for a geometry-optimized CsBa2Ac3Te6 structure.

Calculated values
Symmetry: C2/m
Uncorrected formation energy in eV/atom: -1.57

a b c (Å): 11.0775 11.0775 9.9958
angles (deg): 104.88 104.88 25.25
Element x y z (fractional)
1 Cs 0.0000 0.0000 0.0000
2 Ba 0.3337 0.3337 0.6687
3 Ba 0.6663 0.6663 0.3313
4 Ac 0.0000 0.0000 0.5000
5 Ac 0.3348 0.3348 0.1697
6 Ac 0.6652 0.6652 0.8303
7 Te 0.1639 0.1639 0.5897
8 Te 0.1750 0.1750 0.0748
9 Te 0.4964 0.4964 0.2719
10 Te 0.5036 0.5036 0.7281
11 Te 0.8250 0.8250 0.9252
12 Te 0.8361 0.8361 0.4103

---

[3]
DFT (PBE) results for a geometry-optimized Be2Co2Tc structure.

Calculated values
Symmetry: P4/mbm
ΔE to the lowest computed polymorph in kJ/mol of atoms: 0.0
Formation enthalpy at 0 K in eV per atom: -0.1681

a b c (Å): 6.2235 6.2235 2.5803
angles (deg): 90.00 90.00 90.00
Element x y z (fractional)
1 Be 0.1242 0.3758 0.0000
2 Be 0.3758 0.8758 0.0000
3 Be 0.6242 0.1242 0.0000
4 Be 0.8758 0.6242 0.0000
5 Co 0.1688 0.6688 0.5000
6 Co 0.3312 0.1688 0.5000
7 Co 0.6688 0.8312 0.5000
8 Co 0.8312 0.3312 0.5000
9 Tc 0.0000 0.0000 0.0000
10 Tc 0.5000 0.5000 0.0000

---

[4]
DFT (PBE) results for a geometry-optimized PPt2Pb structure.

Calculated values
Symmetry: R-3m
ΔE to the lowest computed polymorph in kJ/mol of atoms: 6.3
Formation enthalpy at 0 K in eV per atom: -0.2117

a b c (Å): 3.9249 3.9249 17.9303
angles (deg): 90.00 90.00 120.00
Element x y z (fractional)
1 P 0.0000 0.0000 0.0000
2 P 0.3333 0.6667 0.6667
3 P 0.6667 0.3333 0.3333
4 Pt 0.0000 0.0000 0.2845
5 Pt 0.0000 0.0000 0.7155
6 Pt 0.3333 0.6667 0.3822
7 Pt 0.3333 0.6667 0.9512
8 Pt 0.6667 0.3333 0.0488
9 Pt 0.6667 0.3333 0.6178
10 Pb 0.0000 0.0000 0.5000
11 Pb 0.3333 0.6667 0.1667
12 Pb 0.6667 0.3333 0.8333

---

Taking the records one at a time from the top gives calculated density values of 9.2, 6.1, 7.8, 13.1 g cm⁻³.